This record from Alexandria describes a geometry-optimized K2U3WO12 structure. The functional is GGA+U.

The final energy is -8.455 eV/atom. The total moment comes out at 6.00 Bohr magnetons per cell. As for the crystal system: trigonal. The value obtained for the density is 5.8 Mg/m³.

The structure belongs to space group R-3m (No. 166, hexagonal axes); the cell edges are 7.8621, 7.8621 and 18.8255 Å and the angles 90.00°, 90.00° and 120.00°. The distinct sites, in fractional coordinates, are K at (0.0000, 0.0000, 0.1143), U at (0.0000, 0.5000, 0.0000), W at (0.0000, 0.0000, 0.5000), O at (0.0733, 0.5366, 0.3591) and O at (0.0974, 0.5487, 0.1082).